This record from the Alexandria database describes crystalline SrRe2PF at its relaxed geometry. The functional is PBE-GGA.

## Properties
**E_form (uncorrected)**: 0.895 eV per atom
**Crystal system**: tetragonal
**Total energy**: -29.4 eV/f.u.
**Relative energy among the computed polymorphs**: 8 kJ/mol of formula units

a = 4.1511 Å, b = 5.2818 Å, c = 4.1511 Å
α = 90.00°, β = 90.00°, γ = 90.00°
Fractional coordinates of all 5 atoms:
1 Sr 0.5000 0.5000 0.5000
2 Re 0.0000 0.0000 0.5000
3 Re 0.5000 0.0000 0.0000
4 P 0.0000 0.5000 0.0000
5 F 0.0000 0.0000 0.0000